Entry 1:
VASP calculation (PBE) on an optimized crystal structure of DyErGaFe.

E_form   -0.1944 eV per atom
SG   F-43m (216)

Cell and atoms, written as POSCAR:
```
DyErGaFe
1.0
-2.6857 -0.7775 4.0358
2.1939 -0.3562 4.3778
-0.5415 3.5802 3.3158
Dy Fe Ga Er
1 1 1 1
Cartesian
-0.5167 1.2233 5.8647
-0.7750 1.8349 8.7971
-0.2583 0.6116 2.9324
0.0000 0.0000 0.0000
```

***

Entry 2:
VASP calculation (PBE) on an optimized crystal structure of DyErFeNi.

E_form   -0.1068 eV per atom
SG   F-43m (216)

Cell and atoms, written as POSCAR:
```
DyErFeNi
1.0
-4.3314 0.4509 1.7827
-0.6492 -0.1041 4.6594
-1.2021 3.9274 2.2964
Ni Dy Fe Er
1 1 1 1
Cartesian
-1.5457 1.0685 2.1846
0.0000 0.0000 0.0000
-4.6370 3.2056 6.5538
-3.0913 2.1371 4.3692
```

***

Entry 3:
VASP calculation (PBE) on an optimized crystal structure of DyErFePd.

E_form   -0.3335 eV per atom
SG   F-43m (216)

Cell and atoms, written as POSCAR:
```
DyErFePd
1.0
-3.9849 1.4222 2.3165
-3.9956 -2.6953 -0.1964
-1.4944 -2.3864 3.9166
Dy Fe Pd Er
1 1 1 1
Cartesian
-2.3687 -0.9149 1.5092
-4.7374 -1.8297 3.0183
0.0000 0.0000 0.0000
-7.1061 -2.7446 4.5275
```

***

Entry 4:
VASP calculation (PBE) on an optimized crystal structure of DyErFeRh.

E_form   -0.3281 eV per atom
SG   F-43m (216)

Cell and atoms, written as POSCAR:
```
DyErFeRh
1.0
-2.2784 2.5737 3.2934
0.1677 -1.3038 4.5753
2.4790 2.5973 3.1257
Dy Rh Fe Er
1 1 1 1
Cartesian
0.0921 0.9668 2.7486
0.0000 0.0000 0.0000
0.1842 1.9336 5.4972
0.2763 2.9004 8.2459
```

***

Entry 5:
VASP calculation (PBE) on an optimized crystal structure of Dy6Er2Ga.

E_form   0.0198 eV per atom
SG   Cmmm (65)

Cell and atoms, written as POSCAR:
```
Dy6Er2Ga
1.0
-2.2328 -1.0315 2.5055
-1.8369 -7.6023 -4.7668
7.2767 -0.2494 6.3932
Dy Er Ga
6 2 1
Cartesian
1.7436 -2.6246 0.4790
2.6667 -1.2783 6.7756
1.4633 -6.2586 3.6529
-1.6411 -2.6870 -0.1086
0.5402 -7.6049 -2.6437
-2.4287 -5.9468 -2.1526
0.2369 -5.7664 0.3057
2.9700 -3.1167 3.8262
0.0000 0.0000 0.0000
```

***

Entry 6:
VASP calculation (PBE) on an optimized crystal structure of DyErGa.

E_form   -0.3934 eV per atom
SG   C2/m (12)

Cell and atoms, written as POSCAR:
```
DyErGa
1.0
-1.4534 -1.3888 -3.0409
4.6651 -1.4765 -1.5552
-0.2958 -6.4596 5.2762
Dy Er Ga
2 2 2
Cartesian
1.1014 -4.4928 -1.3449
-0.1051 -4.5756 3.6396
-0.9370 -1.6660 -1.6618
1.9336 -7.4025 3.9565
1.4970 -6.0096 1.3445
-0.5005 -3.0585 0.9498
```

***

Entry 7:
VASP calculation (PBE) on an optimized crystal structure of Dy8Er2Ga.

E_form   -0.0751 eV per atom
SG   C2/m (12)

Cell and atoms, written as POSCAR:
```
Dy8Er2Ga
1.0
5.4572 0.0000 0.0000
0.0000 6.2588 1.2321
-2.7286 -1.2110 9.4265
Dy Er Ga
8 2 1
Cartesian
0.0000 2.7742 8.7037
2.7286 5.1204 4.0318
2.7286 4.2252 7.4681
2.7286 0.4810 8.9515
0.0000 0.8225 3.1905
0.0000 -0.0727 6.6268
2.7286 2.2735 1.9549
0.0000 4.5667 1.7072
2.7286 1.4543 5.2951
0.0000 3.5934 5.3635
2.7286 0.0000 0.0000
```

***

Entry 8:
VASP calculation (PBE) on an optimized crystal structure of DyErGa4.

E_form   -0.6186 eV per atom
SG   P6/mmm (191)

Cell and atoms, written as POSCAR:
```
DyErGa4
1.0
-2.9916 2.9695 -0.9775
-0.1830 -2.0915 3.7835
4.2423 5.3070 3.1390
Dy Er Ga
1 1 4
Cartesian
2.1211 2.6535 1.5695
0.0000 0.0000 0.0000
-0.0679 0.9107 2.9744
2.0717 3.5873 4.5576
-1.0041 2.5977 1.3874
1.1356 5.2744 2.9706
```

***

Entry 9:
VASP calculation (PBE) on an optimized crystal structure of Dy2Er5Ga4.

E_form   0.0168 eV per atom
SG   Immm (71)

Cell and atoms, written as POSCAR:
```
Dy2Er5Ga4
1.0
3.3564 0.0000 0.0000
0.0000 6.8866 0.0000
-1.6782 -3.4433 13.3708
Dy Er Ga
2 5 4
Cartesian
0.0000 0.0000 5.8182
1.6782 3.4433 7.5526
0.0000 1.7007 2.8668
1.6782 1.7426 10.5041
0.0000 5.1859 2.8668
1.6782 0.0000 0.0000
1.6782 -1.7426 10.5041
1.6782 3.4433 4.6877
0.0000 2.2712 0.0000
0.0000 0.0000 8.6832
0.0000 4.6154 0.0000
```

***

Entry 10:
VASP calculation (PBE) on an optimized crystal structure of DyErGa4.

E_form   -0.5439 eV per atom
SG   F-43m (216)

Cell and atoms, written as POSCAR:
```
DyErGa4
1.0
5.4912 0.0000 0.0000
2.7456 4.7555 0.0000
2.7456 1.5852 4.4835
Dy Ga Er
1 4 1
Cartesian
2.7456 1.5852 1.1209
5.4912 3.1703 0.5601
5.4912 1.5849 2.8023
6.8643 3.9631 2.8023
4.1182 3.9631 2.8023
0.0000 0.0000 0.0000
```

***

Entry 11:
VASP calculation (PBE) on an optimized crystal structure of Dy5ErGa4.

E_form   -0.2887 eV per atom
SG   C2/m (12)

Cell and atoms, written as POSCAR:
```
Dy5ErGa4
1.0
3.6702 0.0000 0.0000
0.0000 8.6897 0.2991
-1.8351 -0.9651 8.4963
Dy Er Ga
5 1 4
Cartesian
1.8351 5.0379 5.5022
1.8351 1.1915 6.0129
0.0000 6.5331 2.7824
1.8351 4.3449 0.1495
0.0000 2.6867 3.2932
1.8351 0.0000 0.0000
0.0000 7.5371 5.6348
1.8351 5.5684 8.3247
1.8351 0.1875 3.1606
0.0000 2.1562 0.4707
```

***

Entry 12:
VASP calculation (PBE) on an optimized crystal structure of Dy3Er2Ga2.

E_form   -0.3282 eV per atom
SG   C2/m (12)

Cell and atoms, written as POSCAR:
```
Dy3Er2Ga2
1.0
-2.1813 0.8170 2.8604
-3.0333 -5.1017 -3.2345
6.2608 -2.6103 5.5201
Dy Er Ga
3 2 2
Cartesian
-1.0907 0.4085 1.4302
0.7232 -1.7889 3.4411
0.3229 -5.1061 1.7048
-2.8302 -3.4259 1.1989
3.8763 -3.4691 3.9470
1.2219 -4.5862 4.6205
-0.1758 -2.3088 0.5254
```

***

Entry 13:
VASP calculation (PBE) on an optimized crystal structure of DyEr5Ga6.

E_form   -0.5770 eV per atom
SG   Cmmm (65)

Cell and atoms, written as POSCAR:
```
DyEr5Ga6
1.0
-4.3013 -1.8265 1.8155
1.6560 -6.4020 -2.5196
1.2881 -2.5730 7.3851
Dy Ga Er
1 6 5
Cartesian
0.0000 0.0000 0.0000
-1.9109 -7.1748 2.0972
-2.7340 -3.9912 3.3499
-1.7355 -2.5201 0.2756
-0.9098 -5.7084 -0.9797
1.3767 -6.8103 3.3311
0.5537 -3.6268 4.5838
-1.1763 -6.1362 4.8824
-1.0020 -1.4677 3.0714
0.8280 -3.2010 -1.2598
-2.0112 -2.9319 6.1292
-0.1809 -4.6653 1.7986
```

***

Entry 14:
VASP calculation (PBE) on an optimized crystal structure of Dy2ErGa9.

E_form   -0.5334 eV per atom
SG   P4/mmm (123)

Cell and atoms, written as POSCAR:
```
Dy2ErGa9
1.0
4.2635 0.0000 0.0000
0.0000 4.2635 0.0000
0.0000 0.0000 12.7871
Dy Er Ga
2 1 9
Cartesian
0.0000 0.0000 4.2561
0.0000 0.0000 8.5311
0.0000 0.0000 0.0000
2.1318 2.1318 0.0000
2.1318 2.1318 4.2642
2.1318 2.1318 8.5230
2.1318 0.0000 2.1172
2.1318 0.0000 6.3936
2.1318 0.0000 10.6699
0.0000 2.1318 2.1172
0.0000 2.1318 6.3936
0.0000 2.1318 10.6699
```

***

Entry 15:
VASP calculation (PBE) on an optimized crystal structure of DyErGa4.

E_form   -0.6246 eV per atom
SG   Imm2 (44)

Cell and atoms, written as POSCAR:
```
DyErGa4
1.0
-1.2217 4.0407 -0.4474
-5.6222 0.6598 1.1732
-0.2644 2.7143 5.0974
Dy Er Ga
1 1 4
Cartesian
-3.2752 3.7473 2.5098
-0.8948 1.9798 0.1852
-3.8099 1.1737 0.8657
-5.9852 5.2102 2.9842
-3.8450 6.0309 4.5518
-0.5718 2.4154 3.2375
```

***

Entry 16:
VASP calculation (PBE) on an optimized crystal structure of DyEr3Ga4.

E_form   -0.5772 eV per atom
SG   P4/mmm (123)

Cell and atoms, written as POSCAR:
```
DyEr3Ga4
1.0
-1.7343 1.5279 -4.4624
-2.3982 -6.5202 -1.3004
-8.7947 2.3899 4.2364
Er Ga Dy
6 8 2
Cartesian
0.0000 0.0000 0.0000
-4.3974 1.1949 2.1182
-7.4633 2.5564 0.9458
-3.0658 1.3613 -1.1719
-8.6624 -0.7037 0.2957
-4.2649 -1.8987 -1.8222
-2.6707 -4.1395 -3.2091
-7.0681 -2.9446 -1.0910
-1.4618 -0.8528 -2.5537
-5.8592 0.3422 -0.4355
-8.3997 -3.1107 2.1990
-5.7363 -2.7781 -4.3808
-4.5276 0.5083 -3.7254
-7.1909 0.1756 2.8544
-1.1991 -3.2601 -0.6502
-5.5964 -2.0652 1.4680
```

***

Entry 17:
VASP calculation (PBE) on an optimized crystal structure of DyErGa2.

E_form   -0.5833 eV per atom
SG   P4/mmm (123)

Cell and atoms, written as POSCAR:
```
DyErGa2
1.0
-1.4687 -0.2719 3.2278
1.5139 -3.1908 0.4200
5.7264 3.0942 2.8662
Dy Ga Er
1 2 1
Cartesian
2.8858 -0.1843 3.2570
4.3137 2.3309 2.1592
1.4126 0.7633 0.7071
0.0226 -1.7314 1.8239
```

***

Entry 18:
VASP calculation (PBE) on an optimized crystal structure of DyErGa.

E_form   -0.2500 eV per atom
SG   F-43m (216)

Cell and atoms, written as POSCAR:
```
DyErGa
1.0
-0.5040 -2.1952 4.3929
2.0829 -4.4012 0.8134
3.8777 -0.3731 3.0323
Dy Ga Er
1 1 1
Cartesian
2.7283 -3.4847 4.1193
1.3642 -1.7424 2.0596
0.0000 0.0000 0.0000
```

***

Entry 19:
VASP calculation (PBE) on an optimized crystal structure of DyEr4Ga15.

E_form   -0.5290 eV per atom
SG   P4/mmm (123)

Cell and atoms, written as POSCAR:
```
DyEr4Ga15
1.0
-3.3690 2.4118 0.9900
-2.6065 -3.1489 -1.1990
0.2637 -7.7371 19.7464
Dy Er Ga
1 4 15
Cartesian
0.0000 0.0000 0.0000
0.0529 -1.5513 3.9591
0.1055 -3.0956 7.9006
0.1582 -4.6415 11.8458
0.2109 -6.1859 15.7874
-2.9878 -0.3685 -0.1045
-2.9350 -1.9167 3.8466
-2.8822 -3.4647 7.7975
-2.8296 -5.0095 11.7400
-2.7768 -6.5575 15.6908
-1.6579 0.4264 2.4844
-1.6053 -1.1170 6.4234
-1.5526 -2.6627 10.3682
-1.4999 -4.2083 14.3130
-1.4473 -5.7517 18.2521
-1.2767 -2.3539 1.3899
-1.2241 -3.8973 5.3289
-1.1714 -5.4430 9.2737
-1.1187 -6.9887 13.2185
-1.0661 -8.5321 17.1576
```

***

Entry 20:
VASP calculation (PBE) on an optimized crystal structure of DyErGa2.

E_form   -0.4264 eV per atom
SG   R-3m (166)

Cell and atoms, written as POSCAR:
```
DyErGa2
1.0
-2.3445 -2.5437 1.0770
0.7831 -2.0953 2.8502
-4.3303 4.1955 6.5769
Dy Ga Er
1 2 1
Cartesian
-2.9459 -0.2218 5.2520
-4.4251 -0.3232 7.8868
-1.4667 -0.1204 2.6173
0.0000 0.0000 0.0000
```